CaNdTl (PBE, relaxed); volume = 32.3 A^3/atom; ρ = 6.662 g/cm³; symmetry = P3m1 (156); E_tot = -3.239 eV per atom; energy of formation = -0.194 eV per atom; DOS at the Fermi energy = 1.84 states/eV per cell
1.0
3.880 0.000 0.000
0.000 5.370 0.000
0.000 -2.685 4.650
Tl Nd Ca
1 1 1
direct
0.672 0.667 0.333 Tl
0.936 0.000 0.000 Nd
0.392 0.333 0.667 Ca